Entry 1:
Entry from Alexandria via LeMat-Bulk: an optimized crystal structure of Na3Cu2Sb4 (PBE).

Output
Its relative energy among the computed polymorphs is 0 meV per atom. The calculation puts the calculated density at 5.2 g/cm³.

a b c (Å): 12.1038 4.3209 8.3924
angles (deg): 90.00 95.80 90.00
Space group C2/m (No. 12)
Symmetry-distinct sites (fractional):
Na (0.0000, 0.0000, 0.0000)
Na (0.1099, 0.5000, 0.7113)
Cu (0.2247, 0.5000, 0.4148)
Sb (0.0917, 0.0000, 0.3877)
Sb (0.1982, 0.5000, 0.0925)

Entry 2:
Entry from Alexandria via LeMat-Bulk: an optimized crystal structure of Na3CuSb (PBE).

Output
Its relative energy among the computed polymorphs is 0 meV per atom. The calculation puts the calculated density at 3.1 g/cm³.

a b c (Å): 11.9975 6.7966 7.2812
angles (deg): 90.00 115.26 90.00
Space group C2 (No. 5)
Symmetry-distinct sites (fractional):
Na (0.0149, 0.0000, 0.2563)
Na (0.0155, 0.5037, 0.2576)
Na (0.2178, 0.2506, 0.6617)
Cu (0.2503, 0.0001, 0.0002)
Sb (0.2380, 0.7504, 0.7332)

Question: Number 1 is which compound?
Answer: Na3Cu2Sb4